[1]
{
  "formula": "VSnSb2I",
  "functional": "PBE",
  "state": "optimized geometry",
  "cell": [[-3.7003, 2.1157, -3.7020], [-4.0929, -0.3877, 3.8694], [1.2264, 5.3534, 1.8337]],
  "species": ["I", "Sb", "Sb", "Sn", "V"],
  "fractional_positions": [[0.0000, 0.0000, 0.5000], [0.0000, 0.5000, 0.0000], [0.5000, 0.0000, 0.0000], [0.0000, 0.0000, 0.0000], [0.5000, 0.5000, 0.5000]],
  "formation_energy_uncorrected_mev_per_atom": 1333,
  "e_above_lowest_polymorph_mev_per_atom": 987.7,
  "dft_energy_ev_per_atom": -3.2504
}

***

[2]
{
  "formula": "ZnPPt4",
  "functional": "PBE",
  "state": "optimized geometry",
  "cell": [[4.9755, 0.0000, -2.2270], [-0.6319, 5.1143, -1.4117], [0.2374, 0.7993, 7.2020]],
  "species": ["Zn", "Zn", "P", "P", "Pt", "Pt", "Pt", "Pt", "Pt", "Pt", "Pt", "Pt"],
  "fractional_positions": [[0.1404, 0.7500, 0.0000], [0.8596, 0.2500, 0.0000], [0.5000, 0.5000, 0.5000], [0.0000, 0.0000, 0.5000], [0.2511, 0.1025, 0.3254], [0.0742, 0.6025, 0.3254], [0.6629, 0.9355, 0.1830], [0.5201, 0.4355, 0.1830], [0.3371, 0.0645, 0.8170], [0.4799, 0.5645, 0.8170], [0.7489, 0.8975, 0.6746], [0.9258, 0.3975, 0.6746]],
  "formation_energy_ev_per_atom": -0.325,
  "e_above_lowest_polymorph_mev_per_atom": 0.0,
  "dft_energy_ev_per_atom": -5.4663
}

***

[3]
{
  "formula": "SrIn5Ir2",
  "functional": "PBE",
  "state": "optimized geometry",
  "cell": [[-1.8274, -2.1854, 3.1847], [0.9678, -6.9852, -1.3716], [5.2864, -2.7736, 3.9966]],
  "species": ["Sr", "In", "In", "In", "In", "In", "Ir", "Ir"],
  "fractional_positions": [[0.0000, 0.0000, 0.0000], [0.0000, 0.5000, 0.5000], [0.6529, 0.5481, 0.1460], [0.3471, 0.4519, 0.8540], [0.3471, 0.8540, 0.4519], [0.6529, 0.1460, 0.5481], [0.7634, 0.7366, 0.7366], [0.2366, 0.2634, 0.2634]],
  "formation_energy_ev_per_atom": -0.274,
  "dft_energy_ev_per_atom": -4.4111
}

***

[4]
{
  "formula": "Mg2CdTc",
  "functional": "PBE",
  "state": "optimized geometry",
  "cell": [[2.9221, 0.0000, 0.0000], [0.0000, 2.9221, 0.0000], [0.0000, 0.0000, 8.9727]],
  "species": ["Cd", "Mg", "Mg", "Tc"],
  "fractional_positions": [[0.5000, 0.5000, 0.7304], [0.0000, 0.0000, 0.9947], [0.5000, 0.5000, 0.2783], [0.0000, 0.0000, 0.4965]],
  "formation_energy_ev_per_atom": 0.264,
  "dft_energy_ev_per_atom": -3.3533
}

***

[5]
{
  "formula": "BaNpPaN3",
  "functional": "PBE",
  "state": "optimized geometry",
  "cell": [[3.7137, 0.0000, 0.0000], [0.0000, 7.6844, 0.3274], [0.0000, -2.6818, 8.9457]],
  "species": ["Ba", "Ba", "Np", "Np", "Pa", "Pa", "N", "N", "N", "N", "N", "N"],
  "fractional_positions": [[0.7500, 0.8176, 0.8310], [0.2500, 0.1824, 0.1690], [0.2500, 0.0486, 0.5880], [0.7500, 0.9514, 0.4120], [0.2500, 0.6566, 0.1400], [0.7500, 0.3434, 0.8600], [0.2500, 0.7810, 0.3827], [0.7500, 0.8618, 0.1651], [0.7500, 0.4536, 0.1045], [0.7500, 0.2190, 0.6173], [0.2500, 0.5464, 0.8955], [0.2500, 0.1382, 0.8349]],
  "formation_energy_uncorrected_mev_per_atom": -982,
  "dft_energy_ev_per_atom": -9.2046
}

***

[6]
{
  "formula": "DyThTe4",
  "functional": "PBE",
  "state": "optimized geometry",
  "cell": [[-3.0267, 6.8019, -1.7077], [-5.0327, -0.8430, 5.5621], [4.9345, 3.0619, 4.9289]],
  "species": ["Dy", "Dy", "Th", "Th", "Te", "Te", "Te", "Te", "Te", "Te", "Te", "Te"],
  "fractional_positions": [[0.5000, 0.0000, 0.5000], [0.0000, 0.5000, 0.5000], [0.0000, 0.0000, 0.0000], [0.5000, 0.5000, 0.0000], [0.8561, 0.6439, 0.1480], [0.6439, 0.1439, 0.8520], [0.3637, 0.3670, 0.3686], [0.1363, 0.8670, 0.6314], [0.1439, 0.3561, 0.8520], [0.3561, 0.8561, 0.1480], [0.6363, 0.6330, 0.6314], [0.8637, 0.1330, 0.3686]],
  "formation_energy_uncorrected_mev_per_atom": -952,
  "dft_energy_ev_per_atom": -5.0496
}

***

[7]
{
  "formula": "Tm2PaO",
  "functional": "PBE",
  "state": "optimized geometry",
  "cell": [[-2.0388, 2.0763, 1.4426], [-0.0578, 0.2332, 3.2390], [5.7645, 7.3663, 1.2009]],
  "species": ["Pa", "Tm", "Tm", "O"],
  "fractional_positions": [[0.0000, 0.0000, 0.0000], [0.1158, 0.1158, 0.6527], [0.8842, 0.8842, 0.3473], [0.5000, 0.5000, 0.5000]],
  "formation_energy_uncorrected_mev_per_atom": -1096,
  "dft_energy_ev_per_atom": -6.9453
}

***

[8]
{
  "formula": "Y8Pd2Ru",
  "functional": "PBE",
  "state": "optimized geometry",
  "cell": [[5.1119, 0.0000, 0.0000], [0.0000, 6.7964, 0.1934], [-2.5560, -2.6858, 8.2216]],
  "species": ["Y", "Y", "Y", "Y", "Y", "Y", "Y", "Y", "Pd", "Pd", "Ru"],
  "fractional_positions": [[0.4096, 0.5622, 0.8193], [0.6644, 0.9693, 0.3288], [0.7996, 0.6865, 0.5992], [0.9680, 0.2065, 0.9361], [0.2004, 0.3135, 0.4008], [0.3356, 0.0307, 0.6712], [0.5904, 0.4378, 0.1807], [0.0320, 0.7935, 0.0639], [0.8119, 0.2852, 0.6239], [0.1881, 0.7148, 0.3761], [0.5000, 0.0000, 0.0000]],
  "formation_energy_ev_per_atom": -0.404,
  "e_above_lowest_polymorph_mev_per_atom": 0.0,
  "dft_energy_ev_per_atom": -6.8928
}

***

[9]
{
  "formula": "LiTc2BiIr",
  "functional": "PBE",
  "state": "optimized geometry",
  "cell": [[-3.8592, -2.7297, 0.5723], [2.1482, -2.3522, 3.2663], [-1.6592, 3.0322, 3.2749]],
  "species": ["Ir", "Li", "Bi", "Tc", "Tc"],
  "fractional_positions": [[0.0000, 0.0000, 0.0000], [0.0000, 0.5000, 0.0000], [0.5000, 0.5000, 0.5000], [0.0000, 0.0000, 0.5000], [0.5000, 0.0000, 0.0000]],
  "formation_energy_ev_per_atom": 0.928,
  "dft_energy_ev_per_atom": -6.1495
}

***

[10]
{
  "formula": "RbScSCl2",
  "functional": "PBE",
  "state": "optimized geometry",
  "cell": [[5.6033, 0.0000, 0.0000], [0.0000, 5.6033, 0.0000], [0.0000, 0.0000, 5.5869]],
  "species": ["Sc", "S", "Rb", "Cl", "Cl"],
  "fractional_positions": [[0.5000, 0.5000, 0.5000], [0.0000, 0.0000, 0.5000], [0.0000, 0.0000, 0.0000], [0.0000, 0.5000, 0.0000], [0.5000, 0.0000, 0.0000]],
  "formation_energy_uncorrected_mev_per_atom": -44,
  "e_above_lowest_polymorph_mev_per_atom": 1830.1,
  "dft_energy_ev_per_atom": -3.0682
}

***

[11]
{
  "formula": "UMn4Nb",
  "functional": "PBE",
  "state": "optimized geometry",
  "cell": [[-2.4231, -4.3038, 0.1221], [-1.0449, -2.1244, 4.3363], [-4.6679, -0.1619, 1.6103]],
  "species": ["Nb", "Mn", "Mn", "Mn", "Mn", "U"],
  "fractional_positions": [[0.0000, 0.0000, 0.0000], [0.6251, 0.6251, 0.1246], [0.6251, 0.1246, 0.6251], [0.6251, 0.6251, 0.6251], [0.1246, 0.6251, 0.6251], [0.2500, 0.2500, 0.2500]],
  "formation_energy_ev_per_atom": 0.080,
  "dft_energy_ev_per_atom": -9.5926
}

***

[12]
{
  "formula": "Ba3Mo",
  "functional": "PBE",
  "state": "optimized geometry",
  "cell": [[-2.8919, 2.8919, 10.2865], [2.8919, -2.8919, 10.2865], [2.8919, 2.8919, -10.2865]],
  "species": ["Ba", "Ba", "Ba", "Ba", "Ba", "Ba", "Mo", "Mo"],
  "fractional_positions": [[0.0000, 0.5000, 0.5000], [0.5000, 0.0000, 0.5000], [0.7500, 0.2500, 0.5000], [0.2500, 0.7500, 0.5000], [0.8728, 0.8728, 0.0000], [0.1272, 0.1272, 0.0000], [0.6331, 0.6331, 0.0000], [0.3669, 0.3669, 0.0000]],
  "formation_energy_ev_per_atom": 0.916,
  "e_above_lowest_polymorph_mev_per_atom": 149.9,
  "dft_energy_ev_per_atom": -3.2336
}

***

[13]
{
  "formula": "CrReRh2",
  "functional": "PBE",
  "state": "optimized geometry",
  "cell": [[2.6816, -0.0042, 0.0000], [0.0042, 2.6816, 0.0000], [0.0000, 0.0000, 7.6455]],
  "species": ["Re", "Rh", "Rh", "Cr"],
  "fractional_positions": [[0.5000, 0.5000, 0.7500], [0.0000, 0.0000, 0.0104], [0.0000, 0.0000, 0.4896], [0.5000, 0.5000, 0.2500]],
  "formation_energy_ev_per_atom": -0.049,
  "e_above_lowest_polymorph_mev_per_atom": 84.0,
  "dft_energy_ev_per_atom": -9.2425
}

***

[14]
{
  "formula": "Nd4Tm5Sn2",
  "functional": "PBE",
  "state": "optimized geometry",
  "cell": [[5.1968, 0.0000, 0.0000], [2.5984, 4.5005, 0.0000], [2.5984, 1.5002, 15.8882]],
  "species": ["Nd", "Nd", "Nd", "Nd", "Tm", "Tm", "Tm", "Tm", "Tm", "Sn", "Sn"],
  "fractional_positions": [[0.7241, 0.7241, 0.8278], [0.5715, 0.5715, 0.2854], [0.4285, 0.4285, 0.7146], [0.2759, 0.2759, 0.1722], [0.8029, 0.8029, 0.5913], [0.6483, 0.6483, 0.0552], [0.5000, 0.5000, 0.5000], [0.3517, 0.3517, 0.9448], [0.1971, 0.1971, 0.4087], [0.1275, 0.1275, 0.6174], [0.8725, 0.8725, 0.3826]],
  "formation_energy_ev_per_atom": 0.086,
  "dft_energy_ev_per_atom": -4.4079
}

***

[15]
{
  "formula": "Rb3AsO4",
  "functional": "PBE",
  "state": "optimized geometry",
  "cell": [[8.2251, 0.0000, 0.0000], [0.0000, 9.2194, 0.0000], [0.0000, 0.0000, 8.9114]],
  "species": ["As", "As", "As", "As", "O", "O", "O", "O", "O", "O", "O", "O", "O", "O", "O", "O", "O", "O", "O", "O", "Rb", "Rb", "Rb", "Rb", "Rb", "Rb", "Rb", "Rb", "Rb", "Rb", "Rb", "Rb"],
  "fractional_positions": [[0.2760, 0.0178, 0.7500], [0.7760, 0.4822, 0.7500], [0.7240, 0.9822, 0.2500], [0.2240, 0.5178, 0.2500], [0.1785, 0.9573, 0.5896], [0.6785, 0.5427, 0.9104], [0.8215, 0.0427, 0.0896], [0.3215, 0.4573, 0.4104], [0.8215, 0.0427, 0.4104], [0.3215, 0.4573, 0.0896], [0.1785, 0.9573, 0.9104], [0.6785, 0.5427, 0.5896], [0.2743, 0.2067, 0.7500], [0.7743, 0.2933, 0.7500], [0.7257, 0.7933, 0.2500], [0.2257, 0.7067, 0.2500], [0.4773, 0.9607, 0.7500], [0.9773, 0.5393, 0.7500], [0.5227, 0.0393, 0.2500], [0.0227, 0.4607, 0.2500], [0.3230, 0.5027, 0.7500], [0.8230, 0.9973, 0.7500], [0.6770, 0.4973, 0.2500], [0.1770, 0.0027, 0.2500], [0.4680, 0.7762, 0.0171], [0.9680, 0.7238, 0.4829], [0.5320, 0.2238, 0.5171], [0.0320, 0.2762, 0.9829], [0.5320, 0.2238, 0.9829], [0.0320, 0.2762, 0.5171], [0.4680, 0.7762, 0.4829], [0.9680, 0.7238, 0.0171]],
  "formation_energy_uncorrected_mev_per_atom": -1668,
  "e_above_lowest_polymorph_mev_per_atom": 0.0,
  "dft_energy_ev_per_atom": -5.0911
}

***

[16]
{
  "formula": "KNaAs",
  "functional": "PBE",
  "state": "optimized geometry",
  "cell": [[-3.3933, -1.2855, -2.9059], [2.1209, -6.3053, 0.3126], [-3.3297, 2.7146, 6.4058]],
  "species": ["K", "K", "Na", "Na", "As", "As"],
  "fractional_positions": [[0.2860, 0.2860, 0.5720], [0.7140, 0.7140, 0.4280], [0.0000, 0.2174, 0.0000], [0.0000, 0.7826, 0.0000], [0.5986, 0.0986, 0.1971], [0.4014, 0.9014, 0.8029]],
  "formation_energy_ev_per_atom": -0.288,
  "e_above_lowest_polymorph_mev_per_atom": 0.0,
  "dft_energy_ev_per_atom": -2.6438
}

***

[17]
{
  "formula": "NiP2Se",
  "functional": "PBE",
  "state": "optimized geometry",
  "cell": [[-0.6702, -3.0231, 4.8338], [4.2627, -1.3577, 3.5971], [-3.4254, 3.7087, -2.7323]],
  "species": ["Ni", "P", "P", "Se"],
  "fractional_positions": [[0.7500, 0.2500, 0.5000], [0.9417, 0.9417, 0.0000], [0.5583, 0.5583, 0.0000], [0.2500, 0.7500, 0.5000]],
  "formation_energy_uncorrected_mev_per_atom": 287,
  "dft_energy_ev_per_atom": -4.7348
}

***

[18]
{
  "formula": "BaHfI2",
  "functional": "PBE",
  "state": "optimized geometry",
  "cell": [[5.8327, 0.0000, 0.0000], [0.0000, 5.8327, 0.0000], [2.9163, 2.9163, 9.8248]],
  "species": ["I", "I", "I", "I", "Hf", "Hf", "Ba", "Ba"],
  "fractional_positions": [[0.6931, 0.1250, 0.2500], [0.0569, 0.6250, 0.2500], [0.3750, 0.3069, 0.7500], [0.8750, 0.9431, 0.7500], [0.0000, 0.0000, 0.0000], [0.7500, 0.2500, 0.5000], [0.5000, 0.5000, 0.0000], [0.2500, 0.7500, 0.5000]],
  "formation_energy_uncorrected_mev_per_atom": -106,
  "e_above_lowest_polymorph_mev_per_atom": 56.3,
  "dft_energy_ev_per_atom": -3.8497
}

***

[19]
{
  "formula": "LiHgGeN2",
  "functional": "PBE",
  "state": "optimized geometry",
  "cell": [[-2.1862, 1.3063, -2.8382], [3.5192, -2.2144, -3.7299], [-1.9974, -3.2480, 0.0437]],
  "species": ["Ge", "Li", "Hg", "N", "N"],
  "fractional_positions": [[0.0000, 0.0000, 0.0000], [0.5000, 0.5000, 0.5000], [0.0000, 0.5000, 0.0000], [0.0000, 0.0000, 0.5000], [0.5000, 0.0000, 0.0000]],
  "formation_energy_uncorrected_mev_per_atom": 917,
  "dft_energy_ev_per_atom": -3.7800
}

***

[20]
{
  "formula": "KSn2GeS6",
  "functional": "PBE",
  "state": "optimized geometry",
  "cell": [[-8.3419, -0.2487, 2.3863], [-3.3444, -8.6810, 1.7937], [-1.5560, 1.9070, 9.1490]],
  "species": ["K", "K", "Sn", "Sn", "Sn", "Sn", "Ge", "Ge", "S", "S", "S", "S", "S", "S", "S", "S", "S", "S", "S", "S"],
  "fractional_positions": [[0.2500, 0.8483, 0.1517], [0.7500, 0.1517, 0.8483], [0.4732, 0.7423, 0.5941], [0.0268, 0.4059, 0.2577], [0.5268, 0.2577, 0.4059], [0.9732, 0.5941, 0.7423], [0.2500, 0.1646, 0.8354], [0.7500, 0.8354, 0.1646], [0.2026, 0.9493, 0.8236], [0.2974, 0.1764, 0.0507], [0.7974, 0.0507, 0.1764], [0.7026, 0.8236, 0.9493], [0.4670, 0.8788, 0.3571], [0.0330, 0.6429, 0.1212], [0.5330, 0.1212, 0.6429], [0.9670, 0.3571, 0.8788], [0.2984, 0.5776, 0.6216], [0.2016, 0.3784, 0.4224], [0.7016, 0.4224, 0.3784], [0.7984, 0.6216, 0.5776]],
  "formation_energy_uncorrected_mev_per_atom": -446,
  "dft_energy_ev_per_atom": -4.2940
}

***

[21]
{
  "formula": "Dy3CdHg2",
  "functional": "PBE",
  "state": "optimized geometry",
  "cell": [[-0.7296, -0.1984, 3.6559], [-1.9771, -3.1162, -0.5637], [9.2081, -6.1145, 1.5059]],
  "species": ["Dy", "Dy", "Dy", "Cd", "Hg", "Hg"],
  "fractional_positions": [[0.0000, 0.0000, 0.0000], [0.0000, 0.0000, 0.6692], [0.0000, 0.0000, 0.3308], [0.5000, 0.5000, 0.5000], [0.5000, 0.5000, 0.8315], [0.5000, 0.5000, 0.1685]],
  "formation_energy_ev_per_atom": -0.427,
  "e_above_lowest_polymorph_mev_per_atom": 0.0,
  "dft_energy_ev_per_atom": -2.9810
}

***

[22]
{
  "formula": "KTi3Br",
  "functional": "PBE",
  "state": "optimized geometry",
  "cell": [[-4.0897, -2.6370, -0.6374], [2.5619, -3.3745, -2.4768], [0.8926, -2.3967, 4.1886]],
  "species": ["K", "Br", "Ti", "Ti", "Ti"],
  "fractional_positions": [[0.5000, 0.5000, 0.5000], [0.0000, 0.0000, 0.0000], [0.0000, 0.5000, 0.0000], [0.0000, 0.0000, 0.5000], [0.5000, 0.0000, 0.0000]],
  "formation_energy_uncorrected_mev_per_atom": 868,
  "e_above_lowest_polymorph_mev_per_atom": 0.0,
  "dft_energy_ev_per_atom": -4.4228
}

***

[23]
{
  "formula": "Ba6AsPt2Br3",
  "functional": "PBE",
  "state": "optimized geometry",
  "cell": [[8.0964, -0.0034, -0.0034], [-4.0491, 7.0112, -0.0034], [-1.3534, -2.3433, 8.1452]],
  "species": ["Ba", "Ba", "Ba", "Ba", "Ba", "Ba", "As", "Pt", "Pt", "Br", "Br", "Br"],
  "fractional_positions": [[0.9287, 0.5898, 0.7856], [0.7329, 0.7329, 0.2148], [0.0713, 0.4102, 0.2144], [0.5898, 0.9287, 0.7856], [0.2671, 0.2671, 0.7852], [0.4102, 0.0713, 0.2144], [0.0000, 0.0000, 0.0000], [0.3332, 0.6668, 0.0000], [0.6668, 0.3332, 0.0000], [0.1633, 0.8367, 0.5000], [0.8367, 0.1633, 0.5000], [0.5000, 0.5000, 0.5000]],
  "formation_energy_uncorrected_mev_per_atom": -1355,
  "dft_energy_ev_per_atom": -4.1286
}